No. 1
Below is an optimized crystal structure of NdPaIr, with properties calculated at the PBE level.

Output
- ΔE_f: -224 meV/atom
- Space group: F-43m (216)

The structure in POSCAR format:
```
NdPaIr
1.0
0.000 3.432 3.432
3.432 0.000 3.432
3.432 3.432 0.000
Nd Pa Ir
1 1 1
Cartesian
0.000 0.000 0.000
3.432 3.432 3.432
1.716 1.716 1.716
```

No. 2
Below is an optimized crystal structure of TaTlHg2, with properties calculated at the PBE level.

Output
- Space group: F-43m (216)

The structure in POSCAR format:
```
TaTlHg2
1.0
0.000 3.532 3.532
3.532 0.000 3.532
3.532 3.532 0.000
Ta Tl Hg
1 1 2
Cartesian
0.000 0.000 0.000
5.298 5.298 5.298
1.766 1.766 1.766
3.532 3.532 3.532
```

Final energy / eV/atom: -7.928, -2.867